VASP calculation (GGA-PBE) on Dy2MgScC after structural relaxation.

## Properties
Theoretical density: 5.89 g/cm³
E_form: -0.236 eV/atom

Unit cell a=4.5216 b=5.0344 c=5.0344 alpha=90.00 beta=90.00 gamma=90.00
Positions (direct):
Dy: 0.0000 0.0000 0.5000
Dy: 0.0000 0.5000 0.0000
Sc: 0.5000 0.0000 0.0000
C: 0.0000 0.0000 0.0000
Mg: 0.5000 0.5000 0.5000


VASP calculation (GGA-PBE) on SmDy2MgC after structural relaxation.

## Properties
Theoretical density: 6.72 g/cm³
E_form: -0.152 eV/atom

Unit cell a=5.1754 b=4.9443 c=4.9443 alpha=90.00 beta=90.00 gamma=90.00
Positions (direct):
Dy: 0.0000 0.5000 0.0000
Dy: 0.0000 0.0000 0.5000
Mg: 0.5000 0.5000 0.5000
Sm: 0.5000 0.0000 0.0000
C: 0.0000 0.0000 0.0000


VASP calculation (GGA-PBE) on Dy2MgSnC after structural relaxation.

## Properties
Theoretical density: 7.40 g/cm³
E_form: -0.496 eV/atom

Unit cell a=4.4234 b=4.9332 c=4.9332 alpha=90.00 beta=90.00 gamma=90.00
Positions (direct):
Dy: 0.0000 0.5000 0.0000
Dy: 0.0000 0.0000 0.5000
Sn: 0.5000 0.5000 0.5000
C: 0.0000 0.0000 0.0000
Mg: 0.5000 0.0000 0.0000


VASP calculation (GGA-PBE) on Tb2DyMgC after structural relaxation.

## Properties
Theoretical density: 6.88 g/cm³
E_form: -0.169 eV/atom

Unit cell a=4.9547 b=5.0157 c=5.0157 alpha=90.00 beta=90.00 gamma=90.00
Positions (direct):
C: 0.0000 0.0000 0.0000
Tb: 0.0000 0.5000 0.0000
Tb: 0.0000 0.0000 0.5000
Mg: 0.5000 0.5000 0.5000
Dy: 0.5000 0.0000 0.0000


VASP calculation (GGA-PBE) on TbDy2MgC after structural relaxation.

## Properties
Theoretical density: 6.97 g/cm³
E_form: -0.175 eV/atom

Unit cell a=5.0252 b=4.9661 c=4.9661 alpha=90.00 beta=90.00 gamma=90.00
Positions (direct):
Tb: 0.5000 0.0000 0.0000
Dy: 0.0000 0.5000 0.0000
Dy: 0.0000 0.0000 0.5000
C: 0.0000 0.0000 0.0000
Mg: 0.5000 0.5000 0.5000


VASP calculation (GGA-PBE) on DyTh2MgC after structural relaxation.

## Properties
Theoretical density: 8.44 g/cm³
E_form: -0.146 eV/atom

Unit cell a=4.9948 b=5.1087 c=5.1087 alpha=90.00 beta=90.00 gamma=90.00
Positions (direct):
Th: 0.0000 0.0000 0.5000
Th: 0.0000 0.5000 0.0000
C: 0.0000 0.0000 0.0000
Mg: 0.5000 0.5000 0.5000
Dy: 0.5000 0.0000 0.0000


VASP calculation (GGA-PBE) on Dy2ThMgC after structural relaxation.

## Properties
Theoretical density: 7.77 g/cm³
E_form: -0.163 eV/atom

Unit cell a=5.0851 b=4.9940 c=4.9940 alpha=90.00 beta=90.00 gamma=90.00
Positions (direct):
Dy: 0.0000 0.0000 0.5000
Dy: 0.0000 0.5000 0.0000
Th: 0.5000 0.0000 0.0000
C: 0.0000 0.0000 0.0000
Mg: 0.5000 0.5000 0.5000


VASP calculation (GGA-PBE) on DyTm2MgC after structural relaxation.

## Properties
Theoretical density: 7.47 g/cm³
E_form: -0.211 eV/atom

Unit cell a=5.0338 b=4.8676 c=4.8676 alpha=90.00 beta=90.00 gamma=90.00
Positions (direct):
Mg: 0.5000 0.5000 0.5000
Tm: 0.0000 0.0000 0.5000
Tm: 0.0000 0.5000 0.0000
C: 0.0000 0.0000 0.0000
Dy: 0.5000 0.0000 0.0000


VASP calculation (GGA-PBE) on Dy2TmMgC after structural relaxation.

## Properties
Theoretical density: 7.26 g/cm³
E_form: -0.197 eV/atom

Unit cell a=4.8405 b=5.0049 c=5.0049 alpha=90.00 beta=90.00 gamma=90.00
Positions (direct):
Dy: 0.0000 0.0000 0.5000
Dy: 0.0000 0.5000 0.0000
Tm: 0.5000 0.0000 0.0000
C: 0.0000 0.0000 0.0000
Mg: 0.5000 0.5000 0.5000


VASP calculation (GGA-PBE) on DyY2MgC after structural relaxation.

## Properties
Theoretical density: 5.04 g/cm³
E_form: -0.202 eV/atom

Unit cell a=4.9845 b=4.9887 c=4.9887 alpha=90.00 beta=90.00 gamma=90.00
Positions (direct):
Mg: 0.5000 0.5000 0.5000
Y: 0.0000 0.5000 0.0000
Y: 0.0000 0.0000 0.5000
C: 0.0000 0.0000 0.0000
Dy: 0.5000 0.0000 0.0000


VASP calculation (GGA-PBE) on Dy3Mn2C4 after structural relaxation.

## Properties
Theoretical density: 8.59 g/cm³
E_form: -0.060 eV/atom

Unit cell a=3.2361 b=5.8394 c=6.8735 alpha=89.18 beta=90.00 gamma=106.09
Positions (direct):
Mn: 0.7283 0.4566 0.8522
Mn: 0.2717 0.5434 0.1478
Dy: 0.6297 0.2594 0.4458
Dy: 0.3703 0.7406 0.5542
Dy: 0.0000 0.0000 0.0000
C: 0.3443 0.6885 0.9048
C: 0.1648 0.3297 0.6967
C: 0.8352 0.6703 0.3033
C: 0.6557 0.3115 0.0952


VASP calculation (GGA-PBE) on DyMnC after structural relaxation.

## Properties
Theoretical density: 9.16 g/cm³
E_form: 0.024 eV/atom

Unit cell a=4.1414 b=3.4058 c=3.4058 alpha=120.00 beta=90.00 gamma=90.00
Positions (direct):
Dy: 0.6670 0.6667 0.3333
C: 0.1664 0.0000 0.0000
Mn: 0.1667 0.3333 0.6667


VASP calculation (GGA-PBE) on Dy2Mn17C3 after structural relaxation.

## Properties
Theoretical density: 8.18 g/cm³
E_form: -0.094 eV/atom

Unit cell a=6.4482 b=6.4482 c=6.4482 alpha=83.19 beta=83.19 gamma=83.19
Positions (direct):
Mn: 0.5000 0.0000 0.0000
Mn: 0.7203 0.0000 0.2797
Mn: 0.0000 0.7203 0.2797
Mn: 0.3395 0.3395 0.8625
Mn: 0.7203 0.2797 0.0000
Mn: 0.8625 0.3395 0.3395
Mn: 0.0000 0.0000 0.5000
Mn: 0.3395 0.8625 0.3395
Mn: 0.1375 0.6605 0.6605
Mn: 0.9048 0.9048 0.9048
Mn: 0.2797 0.7203 0.0000
Mn: 0.6605 0.1375 0.6605
Mn: 0.0000 0.5000 0.0000
Mn: 0.0000 0.2797 0.7203
Mn: 0.0952 0.0952 0.0952
Mn: 0.6605 0.6605 0.1375
Mn: 0.2797 0.0000 0.7203
C: 0.0000 0.5000 0.5000
C: 0.5000 0.5000 0.0000
C: 0.5000 0.0000 0.5000
Dy: 0.6502 0.6502 0.6502
Dy: 0.3498 0.3498 0.3498


VASP calculation (GGA-PBE) on Dy2Mn2C3 after structural relaxation.

## Properties
Theoretical density: 8.53 g/cm³
E_form: -0.322 eV/atom

Unit cell a=3.3923 b=5.5113 c=5.3522 alpha=104.27 beta=108.48 gamma=90.00
Positions (direct):
C: 0.0000 0.5000 0.0000
C: 0.7094 0.2747 0.4188
C: 0.2906 0.7253 0.5812
Mn: 0.1573 0.3936 0.3147
Mn: 0.8427 0.6064 0.6853
Dy: 0.6055 0.8158 0.2110
Dy: 0.3945 0.1842 0.7890


VASP calculation (GGA-PBE) on Dy12Mn5C15 after structural relaxation.

## Properties
Theoretical density: 8.33 g/cm³
E_form: -0.355 eV/atom

Unit cell a=10.4618 b=10.4618 c=5.0555 alpha=90.00 beta=90.00 gamma=120.00
Positions (direct):
C: 0.5235 0.8062 0.5000
C: 0.4545 0.0000 0.0000
C: 0.2827 0.4765 0.5000
C: 0.1938 0.7173 0.5000
C: 0.0000 0.7991 0.0000
C: 0.4765 0.2827 0.5000
C: 0.6751 0.6751 0.0000
C: 0.3249 0.0000 0.0000
C: 0.0000 0.4545 0.0000
C: 0.0000 0.3249 0.0000
C: 0.2009 0.2009 0.0000
C: 0.7991 0.0000 0.0000
C: 0.5455 0.5455 0.0000
C: 0.7173 0.1938 0.5000
C: 0.8062 0.5235 0.5000
Dy: 0.5692 0.5692 0.5000
Dy: 0.4308 0.0000 0.5000
Dy: 0.1863 0.7309 0.0000
Dy: 0.2062 0.2062 0.5000
Dy: 0.7938 0.0000 0.5000
Dy: 0.2691 0.4554 0.0000
Dy: 0.5446 0.8137 0.0000
Dy: 0.0000 0.4308 0.5000
Dy: 0.4554 0.2691 0.0000
Dy: 0.8137 0.5446 0.0000
Dy: 0.7309 0.1863 0.0000
Dy: 0.0000 0.7938 0.5000
Mn: 0.1535 0.0000 0.0000
Mn: 0.8465 0.8465 0.0000
Mn: 0.3333 0.6667 0.5000
Mn: 0.6667 0.3333 0.5000
Mn: 0.0000 0.1535 0.0000


VASP calculation (GGA-PBE) on Dy2MnC after structural relaxation.

## Properties
Theoretical density: 7.09 g/cm³
E_form: 0.280 eV/atom

Unit cell a=3.4735 b=3.4735 c=9.0085 alpha=78.88 beta=78.88 gamma=60.00
Positions (direct):
Dy: 0.1153 0.1153 0.6541
Dy: 0.8847 0.8847 0.3459
Mn: 0.0000 0.0000 0.0000
C: 0.5000 0.5000 0.5000


VASP calculation (GGA-PBE) on DyMn2C3 after structural relaxation.

## Properties
Theoretical density: 7.13 g/cm³
E_form: -0.021 eV/atom

Unit cell a=4.8526 b=6.6051 c=5.5693 alpha=126.37 beta=90.00 gamma=90.00
Positions (direct):
C: 0.7500 0.9131 0.8261
C: 0.2500 0.3170 0.8473
C: 0.2500 0.5303 0.8473
C: 0.2500 0.0869 0.1739
C: 0.7500 0.6830 0.1527
C: 0.7500 0.4697 0.1527
Mn: 0.0000 0.1894 0.0000
Mn: 0.5000 0.8106 0.0000
Mn: 0.5000 0.1894 0.0000
Mn: 0.0000 0.8106 0.0000
Dy: 0.7500 0.2964 0.5928
Dy: 0.2500 0.7036 0.4072


VASP calculation (GGA-PBE) on Dy2MnC2 after structural relaxation.

## Properties
Theoretical density: 8.55 g/cm³
E_form: -0.311 eV/atom

Unit cell a=5.0563 b=6.0250 c=6.6099 alpha=117.78 beta=90.00 gamma=114.81
Positions (direct):
C: 0.4870 0.9740 0.2071
C: 0.1884 0.3768 0.6180
C: 0.5130 0.0260 0.7929
C: 0.8116 0.6232 0.3820
Dy: 0.0391 0.0782 0.7844
Dy: 0.9609 0.9218 0.2156
Dy: 0.6813 0.3626 0.6185
Dy: 0.3187 0.6374 0.3815
Mn: 0.6302 0.2603 0.1317
Mn: 0.3698 0.7397 0.8683


VASP calculation (GGA-PBE) on DyMn5C2 after structural relaxation.

## Properties
Theoretical density: 8.57 g/cm³
E_form: 0.010 eV/atom

Unit cell a=3.2438 b=5.5779 c=5.5779 alpha=71.51 beta=73.10 gamma=73.10
Positions (direct):
Mn: 0.6617 0.1540 0.5226
Mn: 0.3383 0.8460 0.4774
Mn: 0.3383 0.4774 0.8460
Mn: 0.6617 0.5226 0.1540
Mn: 0.0000 0.5000 0.5000
Dy: 0.0000 0.0000 0.0000
C: 0.7517 0.7483 0.7483
C: 0.2483 0.2517 0.2517


VASP calculation (GGA-PBE) on DyMn12C6 after structural relaxation.

## Properties
Theoretical density: 7.91 g/cm³
E_form: -0.067 eV/atom

Unit cell a=5.9169 b=5.9169 c=5.9169 alpha=103.21 beta=103.21 gamma=103.21
Positions (direct):
Mn: 0.5000 0.8667 0.1333
Mn: 0.5395 0.5395 0.8107
Mn: 0.8667 0.1333 0.5000
Mn: 0.5000 0.1333 0.8667
Mn: 0.1333 0.8667 0.5000
Mn: 0.4605 0.1893 0.4605
Mn: 0.1333 0.5000 0.8667
Mn: 0.1893 0.4605 0.4605
Mn: 0.5395 0.8107 0.5395
Mn: 0.4605 0.4605 0.1893
Mn: 0.8667 0.5000 0.1333
Mn: 0.8107 0.5395 0.5395
C: 0.6712 0.2280 0.2280
C: 0.7720 0.7720 0.3288
C: 0.3288 0.7720 0.7720
C: 0.2280 0.6712 0.2280
C: 0.2280 0.2280 0.6712
C: 0.7720 0.3288 0.7720
Dy: 0.0000 0.0000 0.0000


VASP calculation (GGA-PBE) on Dy11Mn12C18 after structural relaxation.

## Properties
Theoretical density: 8.46 g/cm³
E_form: -0.339 eV/atom

Unit cell a=8.7890 b=8.7890 c=8.7890 alpha=109.47 beta=109.47 gamma=109.47
Positions (direct):
C: 0.4320 0.4320 0.0000
C: 0.4320 0.0000 0.4320
C: 0.5142 0.2193 0.2193
C: 0.0000 0.5680 0.5680
C: 0.7051 0.4858 0.7051
C: 0.4858 0.7051 0.7051
C: 0.2949 0.0000 0.7807
C: 0.2193 0.5142 0.2193
C: 0.7051 0.7051 0.4858
C: 0.5680 0.0000 0.5680
C: 0.7807 0.2949 0.0000
C: 0.2949 0.7807 0.0000
C: 0.0000 0.7807 0.2949
C: 0.0000 0.4320 0.4320
C: 0.2193 0.2193 0.5142
C: 0.7807 0.0000 0.2949
C: 0.0000 0.2949 0.7807
C: 0.5680 0.5680 0.0000
Mn: 0.6604 0.8445 0.6604
Mn: 0.0000 0.1841 0.3396
Mn: 0.1841 0.3396 0.0000
Mn: 0.0000 0.3396 0.1841
Mn: 0.1555 0.8159 0.8159
Mn: 0.8159 0.8159 0.1555
Mn: 0.8445 0.6604 0.6604
Mn: 0.1841 0.0000 0.3396
Mn: 0.6604 0.6604 0.8445
Mn: 0.3396 0.1841 0.0000
Mn: 0.8159 0.1555 0.8159
Mn: 0.3396 0.0000 0.1841
Dy: 0.5000 0.7500 0.2500
Dy: 0.4119 0.4119 0.4119
Dy: 0.0000 0.0000 0.0000
Dy: 0.5000 0.2500 0.7500
Dy: 0.2500 0.7500 0.5000
Dy: 0.5881 0.0000 0.0000
Dy: 0.7500 0.2500 0.5000
Dy: 0.0000 0.0000 0.5881
Dy: 0.7500 0.5000 0.2500
Dy: 0.2500 0.5000 0.7500
Dy: 0.0000 0.5881 0.0000


VASP calculation (GGA-PBE) on DyMnC2 after structural relaxation.

## Properties
Theoretical density: 8.51 g/cm³
E_form: 0.154 eV/atom

Unit cell a=3.2492 b=3.2492 c=5.4837 alpha=72.77 beta=72.77 gamma=60.00
Positions (direct):
C: 0.2689 0.2689 0.1934
C: 0.7311 0.7311 0.8066
Mn: 0.0000 0.0000 0.0000
Dy: 0.5000 0.5000 0.5000